A geometry-optimized FeGe2BO6 structure, computed with GGA+U.

DFT total energy = -134.145 eV for the cell shown

a b c (Å): 5.3273 7.0061 7.0061
angles (deg): 75.13 72.43 72.43
Positions (direct):
Fe (0.2500, 0.8655, 0.1345)
Fe (0.7500, 0.1345, 0.8655)
Ge (0.3633, 0.8259, 0.6104)
Ge (0.1367, 0.3896, 0.1741)
Ge (0.6367, 0.1741, 0.3896)
Ge (0.8633, 0.6104, 0.8259)
B (0.2500, 0.1959, 0.8041)
B (0.7500, 0.8041, 0.1959)
O (0.1902, 0.9964, 0.8136)
O (0.3098, 0.1864, 0.0036)
O (0.8098, 0.0036, 0.1864)
O (0.6902, 0.8136, 0.9964)
O (0.4951, 0.7793, 0.3433)
O (0.0049, 0.6567, 0.2207)
O (0.5049, 0.2207, 0.6567)
O (0.9951, 0.3433, 0.7793)
O (0.0567, 0.7600, 0.6236)
O (0.4433, 0.3764, 0.2400)
O (0.9433, 0.2400, 0.3764)
O (0.5567, 0.6236, 0.7600)